No. 1
Computed, not measured: crystalline NpU4P5 at its relaxed geometry at the PBE-GGA level of DFT.

Cell: 3.946 5.575 10.419 Å, 105.52 100.92 90.00°
Site moments in Bohr magnetons follow the coordinates.
Positions (direct):
P 0.200 0.700 0.400  -0.08
P 0.800 0.300 0.600  -0.08
P 0.600 0.100 0.200  -0.09
P 0.400 0.900 0.800  -0.09
P 0.000 0.500 0.000  -0.09
U 0.800 0.800 0.599  1.95
U 0.400 0.400 0.800  1.96
U 0.600 0.600 0.200  1.96
U 0.200 0.200 0.401  1.95
Np 0.000 0.000 0.000  3.57

Properties
Magnetization = 1.231 μB per atom
N(E_F) = 2.575 states/eV per atom
E_form = -945 meV/atom


No. 2
Computed, not measured: crystalline NpUP2 at its relaxed geometry at the PBE-GGA level of DFT.

Cell: 3.388 3.388 6.765 Å, 90.00 90.00 90.00°
Site moments in Bohr magnetons follow the coordinates.
Positions (direct):
P 0.000 0.000 0.248  -0.13
P 0.000 0.000 0.752  -0.13
U 0.500 0.500 0.000  2.40
Np 0.500 0.500 0.500  3.91

Properties
Magnetization = 1.660 μB per atom
Polymorph energy (0 for the lowest one) = 0.211 eV/atom
N(E_F) = 2.377 states/eV per atom
E_form = -707 meV/atom


No. 3
Computed, not measured: crystalline NpUP2 at its relaxed geometry at the PBE-GGA level of DFT.

Cell: 3.965 3.965 6.804 Å, 73.06 73.06 60.00°
Site moments in Bohr magnetons follow the coordinates.
Positions (direct):
P 0.750 0.750 0.750  -0.10
P 0.250 0.250 0.250  -0.10
Np 0.500 0.500 0.500  3.60
U 0.000 0.000 0.000  1.96

Properties
Magnetization = 1.486 μB per atom
Polymorph energy (0 for the lowest one) = 0.000 eV/atom
N(E_F) = 2.727 states/eV per atom
E_form = -918 meV/atom


no.,total DFT energy (no corrections) (eV per atom)
1,-9.46
2,-9.47
3,-9.68